PBE-GGA TbPm2NdMg, relaxed; crystal system = monoclinic; N(E_F) = 14.0 states/eV/cell; total DFT energy (no corrections) = -40.82 eV per cell
1.0
6.216 0.000 0.000
0.000 5.691 0.000
-3.081 0.000 9.038
Tb Pm Nd Mg
2 4 2 2
Direct
0.167 0.250 0.497
0.833 0.750 0.503
0.375 0.250 0.892
0.452 0.750 0.702
0.548 0.250 0.298
0.625 0.750 0.108
0.034 0.750 0.891
0.966 0.250 0.109
0.226 0.750 0.308
0.774 0.250 0.692

---

PBE-GGA Tb2Pm6NdMg, relaxed; crystal system = monoclinic; N(E_F) = 28.9 states/eV/cell; total DFT energy (no corrections) = -85.96 eV per cell
1.0
4.682 -7.750 0.000
4.682 7.750 0.000
-0.349 0.000 9.158
Tb Pm Nd Mg
4 12 2 2
Direct
0.176 0.285 0.445
0.285 0.176 0.945
0.715 0.824 0.055
0.824 0.715 0.555
0.011 0.774 0.902
0.062 0.487 0.704
0.226 0.989 0.598
0.287 0.634 0.055
0.366 0.713 0.445
0.487 0.062 0.204
0.513 0.938 0.796
0.634 0.287 0.555
0.713 0.366 0.945
0.774 0.011 0.402
0.938 0.513 0.296
0.989 0.226 0.098
0.471 0.529 0.750
0.529 0.471 0.250
0.074 0.926 0.250
0.926 0.074 0.750

---

PBE-GGA Tb5PmNd2Mg, relaxed; crystal system = orthorhombic; N(E_F) = 25.5 states/eV/cell; total DFT energy (no corrections) = -76.37 eV per cell
1.0
2.752 -10.077 0.000
2.752 10.077 0.000
0.000 0.000 10.624
Tb Pm Nd Mg
10 2 4 2
Direct
0.001 0.999 0.500
0.116 0.884 0.751
0.210 0.790 0.450
0.211 0.789 0.051
0.487 0.513 0.751
0.513 0.487 0.251
0.789 0.211 0.551
0.790 0.210 0.950
0.884 0.116 0.251
0.999 0.001 0.000
0.296 0.704 0.751
0.704 0.296 0.251
0.385 0.615 0.042
0.385 0.615 0.461
0.615 0.385 0.542
0.615 0.385 0.961
0.094 0.906 0.249
0.906 0.094 0.749

---

PBE-GGA TbPm5Nd2Mg, relaxed; crystal system = orthorhombic; N(E_F) = 25.6 states/eV/cell; total DFT energy (no corrections) = -77.46 eV per cell
1.0
2.782 -10.155 0.000
2.782 10.155 0.000
0.000 0.000 10.774
Tb Pm Nd Mg
2 10 4 2
Direct
0.201 0.799 0.500
0.799 0.201 0.000
0.014 0.986 0.500
0.288 0.712 0.198
0.288 0.712 0.802
0.380 0.620 0.500
0.500 0.500 0.250
0.500 0.500 0.750
0.620 0.380 0.000
0.712 0.288 0.302
0.712 0.288 0.698
0.986 0.014 0.000
0.115 0.885 0.210
0.115 0.885 0.790
0.885 0.115 0.290
0.885 0.115 0.710
0.405 0.595 0.999
0.595 0.405 0.499

---

PBE-GGA Tb2Pm2Nd4Mg, relaxed; crystal system = triclinic; N(E_F) = 12.2 states/eV/cell; total DFT energy (no corrections) = -39.00 eV per cell
1.0
5.891 0.000 0.000
2.812 6.156 0.000
2.867 0.281 8.285
Tb Pm Nd Mg
2 2 4 1
Direct
0.173 0.227 0.036
0.827 0.773 0.964
0.429 0.885 0.712
0.571 0.115 0.288
0.214 0.483 0.618
0.273 0.694 0.171
0.727 0.306 0.829
0.786 0.517 0.382
0.000 0.000 0.500

---

PBE-GGA TbPm2Nd4Mg, relaxed; crystal system = tetragonal; N(E_F) = 10.6 states/eV/cell; total DFT energy (no corrections) = -34.74 eV per cell
1.0
5.086 0.000 0.000
0.000 5.086 0.000
0.000 0.000 10.217
Tb Pm Nd Mg
1 2 4 1
Direct
0.000 0.000 0.000
0.000 0.000 0.500
0.500 0.500 0.000
0.000 0.500 0.253
0.000 0.500 0.747
0.500 0.000 0.253
0.500 0.000 0.747
0.500 0.500 0.500

---

PBE-GGA TbPm4Nd2Mg, relaxed; crystal system = orthorhombic; N(E_F) = 11.2 states/eV/cell; total DFT energy (no corrections) = -34.67 eV per cell
1.0
5.058 0.000 0.000
0.000 5.068 0.000
0.000 0.000 10.251
Tb Pm Nd Mg
1 4 2 1
Direct
0.000 0.000 0.000
0.000 0.500 0.253
0.000 0.500 0.747
0.500 0.000 0.252
0.500 0.000 0.748
0.000 0.000 0.500
0.500 0.500 0.000
0.500 0.500 0.500

---

PBE-GGA Tb3Pm2Nd6Mg, relaxed; crystal system = monoclinic; N(E_F) = 13.6 states/eV/cell; total DFT energy (no corrections) = -53.45 eV per cell
1.0
3.132 -5.429 0.000
3.132 5.429 0.000
-2.095 0.000 11.731
Tb Pm Nd Mg
3 2 6 1
Direct
0.000 0.000 0.000
0.334 0.666 0.000
0.666 0.334 0.000
0.167 0.833 0.500
0.833 0.167 0.500
0.086 0.417 0.249
0.252 0.252 0.752
0.417 0.086 0.249
0.583 0.914 0.751
0.748 0.748 0.248
0.914 0.583 0.751
0.500 0.500 0.500

---

PBE-GGA TbPmNd2Mg, relaxed; crystal system = monoclinic; N(E_F) = 15.7 states/eV/cell; total DFT energy (no corrections) = -39.47 eV per cell
1.0
7.423 0.000 0.000
0.000 7.383 0.000
-0.005 0.000 6.004
Tb Pm Nd Mg
2 2 4 2
Direct
0.000 0.130 0.250
0.000 0.870 0.750
0.500 0.344 0.250
0.500 0.656 0.750
0.283 0.188 0.750
0.283 0.812 0.250
0.717 0.188 0.750
0.717 0.812 0.250
0.000 0.500 0.000
0.000 0.500 0.500

---

PBE-GGA Tb2PmNd4Mg, relaxed; crystal system = tetragonal; N(E_F) = 13.1 states/eV/cell; total DFT energy (no corrections) = -34.16 eV per cell
1.0
5.769 0.000 0.000
0.000 5.769 0.000
0.000 0.000 7.924
Tb Pm Nd Mg
2 1 4 1
Direct
0.000 0.000 0.000
0.500 0.500 0.500
0.000 0.000 0.500
0.000 0.500 0.232
0.000 0.500 0.768
0.500 0.000 0.232
0.500 0.000 0.768
0.500 0.500 0.000

---

PBE-GGA Tb2PmNdMg, relaxed; crystal system = monoclinic; N(E_F) = 13.4 states/eV/cell; total DFT energy (no corrections) = -40.50 eV per cell
1.0
5.616 -2.486 0.000
5.616 2.486 0.000
-0.003 0.000 11.242
Tb Pm Nd Mg
4 2 2 2
Direct
0.147 0.147 0.047
0.346 0.346 0.447
0.654 0.654 0.553
0.853 0.853 0.953
0.253 0.253 0.756
0.747 0.747 0.244
0.047 0.047 0.348
0.953 0.953 0.652
0.447 0.447 0.140
0.553 0.553 0.860